(1)
RbIn4GaAg2 | GGA-PBE | relaxed

Computed properties:
VASP energy = -0.1911 Ry/atom
Formation energy from the elements = -0.0184 eV per atom
Total moment = 0.00 Bohr magnetons per cell
Space group = R-3m, No. 166

abc: 4.861 4.861 11.416
angles: 77.71 77.71 60.00
Fractional positions:
In 0.409 0.409 0.772
Rb 0.000 0.000 0.000
In 0.130 0.130 0.611
Ag 0.234 0.234 0.297
Ag 0.766 0.766 0.703
In 0.591 0.591 0.228
In 0.870 0.870 0.389
Ga 0.500 0.500 0.500

***

(2)
Sc4In2GaAg | GGA-PBE | relaxed

Computed properties:
VASP energy = -0.3680 Ry/atom
Formation energy from the elements = -0.4219 eV per atom
Total moment = 0.00 Bohr magnetons per cell
Space group = R-3m, No. 166

abc: 4.933 4.933 8.535
angles: 73.20 73.20 60.00
Fractional positions:
In 0.754 0.754 0.738
In 0.246 0.246 0.262
Ga 0.000 0.000 0.000
Ag 0.500 0.500 0.500
Sc 0.373 0.373 0.881
Sc 0.627 0.627 0.119
Sc 0.122 0.122 0.633
Sc 0.878 0.878 0.367

***

(3)
SmInGaAg | GGA-PBE | relaxed

Computed properties:
VASP energy = -0.2713 Ry/atom
Formation energy from the elements = -0.3572 eV per atom
Total moment = 0.00 Bohr magnetons per cell
Space group = F-43m, No. 216

abc: 5.022 5.022 5.022
angles: 60.00 60.00 60.00
Fractional positions:
Ga 0.750 0.750 0.750
Ag 0.250 0.250 0.250
Sm 0.000 0.000 0.000
In 0.500 0.500 0.500

***

(4)
Sr2In3Ga4Ag | GGA-PBE | relaxed

Computed properties:
VASP energy = -0.2187 Ry/atom
Formation energy from the elements = -0.3223 eV per atom
Total moment = 0.00 Bohr magnetons per cell
Space group = P-4m2, No. 115

abc: 4.610 4.610 11.633
angles: 90.00 90.00 90.00
Fractional positions:
Ga 0.500 0.500 0.000
Ga 0.000 0.500 0.369
Sr 0.000 0.500 0.745
In 0.500 0.000 0.863
Ag 0.500 0.500 0.500
Sr 0.500 0.000 0.255
Ga 0.000 0.000 0.000
In 0.000 0.500 0.137
In 0.000 0.000 0.500
Ga 0.500 0.000 0.631

***

(5)
Sr2In4GaAg3 | GGA-PBE | relaxed

Computed properties:
VASP energy = -0.2118 Ry/atom
Formation energy from the elements = -0.2922 eV per atom
Total moment = 0.00 Bohr magnetons per cell
Space group = P-4m2, No. 115

abc: 4.628 4.628 12.082
angles: 90.00 90.00 90.00
Fractional positions:
In 0.500 0.500 0.000
In 0.000 0.500 0.367
Ag 0.000 0.500 0.141
Ga 0.500 0.500 0.500
Ag 0.000 0.000 0.500
Sr 0.000 0.500 0.748
In 0.000 0.000 0.000
Sr 0.500 0.000 0.252
In 0.500 0.000 0.633
Ag 0.500 0.000 0.859

***

(6)
SrInGaAg2 | GGA-PBE | relaxed

Computed properties:
VASP energy = -0.2151 Ry/atom
Formation energy from the elements = -0.2962 eV per atom
Total moment = 0.00 Bohr magnetons per cell
Space group = Imm2, No. 44

abc: 4.506 4.585 6.687
angles: 110.05 109.69 90.00
Fractional positions:
Sr 0.440 0.440 0.879
Ag 0.708 0.208 0.415
Ga 0.828 0.828 0.655
Ag 0.048 0.048 0.096
In 0.189 0.689 0.378

***

(7)
Sr2InGa4Ag3 | GGA-PBE | relaxed

Computed properties:
VASP energy = -0.2207 Ry/atom
Formation energy from the elements = -0.3259 eV per atom
Total moment = 0.00 Bohr magnetons per cell
Space group = P-4m2, No. 115

abc: 4.462 4.462 11.544
angles: 90.00 90.00 90.00
Fractional positions:
Sr 0.500 0.000 0.243
Ag 0.500 0.000 0.870
Ga 0.500 0.000 0.644
Ga 0.000 0.500 0.356
Ag 0.000 0.000 0.500
Ag 0.000 0.500 0.130
Ga 0.500 0.500 0.000
Sr 0.000 0.500 0.757
Ga 0.000 0.000 0.000
In 0.500 0.500 0.500

***

(8)
SrIn4GaAg2 | GGA-PBE | relaxed

Computed properties:
VASP energy = -0.2055 Ry/atom
Formation energy from the elements = -0.1259 eV per atom
Total moment = 0.00 Bohr magnetons per cell
Space group = R-3m, No. 166

abc: 4.906 4.906 10.163
angles: 76.03 76.03 60.00
Fractional positions:
Ga 0.500 0.500 0.500
Ag 0.744 0.744 0.767
In 0.872 0.872 0.384
In 0.599 0.599 0.202
In 0.401 0.401 0.798
In 0.128 0.128 0.616
Sr 0.000 0.000 0.000
Ag 0.256 0.256 0.233